Model 1:
# RbHgPb3, relaxed, DFT PBE-GGA
# V = 41.65 Å³/atom
# Total magnetic moment = 0.0 μB per formula unit
data_RbHgPb3
_chemical_formula_sum 'Rb1 Hg1 Pb3'
_cell_length_a 5.928
_cell_length_b 5.928
_cell_length_c 5.928
_cell_angle_alpha 90.00
_cell_angle_beta 90.00
_cell_angle_gamma 90.00
_symmetry_space_group_name_H-M 'P m -3 m'
_symmetry_Int_Tables_number 221
_symmetry_space_group_name_Hall '-P 4 2 3'
loop_
_atom_site_label
_atom_site_fract_x
_atom_site_fract_y
_atom_site_fract_z
Rb1 0.000 0.000 0.000
Hg1 0.500 0.500 0.500
Pb1 0.000 0.500 0.500

---

Model 2:
# RbHgPb3, relaxed, DFT PBE-GGA
# V = 50.56 Å³/atom
# Total magnetic moment = 0.0 μB per formula unit
data_RbHgPb3
_chemical_formula_sum 'Rb1 Hg1 Pb3'
_cell_length_a 6.323
_cell_length_b 6.323
_cell_length_c 6.323
_cell_angle_alpha 90.00
_cell_angle_beta 90.00
_cell_angle_gamma 90.00
_symmetry_space_group_name_H-M 'P m -3 m'
_symmetry_Int_Tables_number 221
_symmetry_space_group_name_Hall '-P 4 2 3'
loop_
_atom_site_label
_atom_site_fract_x
_atom_site_fract_y
_atom_site_fract_z
Rb1 0.000 0.000 0.000
Hg1 0.500 0.500 0.500
Pb1 0.000 0.000 0.500

---

Tell me which of them is the least stable. Sure, it is model 2.

---

Model 1:
# RbHgPb3, relaxed, DFT PBE-GGA
# V = 36.67 Å³/atom
# Total magnetic moment = 0.0 μB per formula unit
data_RbHgPb3
_chemical_formula_sum 'Rb2 Hg2 Pb6'
_cell_length_a 6.952
_cell_length_b 6.968
_cell_length_c 8.326
_cell_angle_alpha 90.00
_cell_angle_beta 114.60
_cell_angle_gamma 90.00
_symmetry_space_group_name_H-M 'C 1 m 1'
_symmetry_Int_Tables_number 8
_symmetry_space_group_name_Hall 'C -2y'
loop_
_atom_site_label
_atom_site_fract_x
_atom_site_fract_y
_atom_site_fract_z
Rb1 0.000 0.000 0.000
Hg1 0.405 0.000 0.811
Pb1 0.008 0.250 0.516
Pb2 0.119 0.500 0.236

---

Model 2:
# RbHgPb3, relaxed, DFT PBE-GGA
# V = 36.05 Å³/atom
# Total magnetic moment = 0.0 μB per formula unit
data_RbHgPb3
_chemical_formula_sum 'Rb2 Hg2 Pb6'
_cell_length_a 6.918
_cell_length_b 7.281
_cell_length_c 7.156
_cell_angle_alpha 90.00
_cell_angle_beta 90.00
_cell_angle_gamma 90.00
_symmetry_space_group_name_H-M 'P m n 21'
_symmetry_Int_Tables_number 31
_symmetry_space_group_name_Hall 'P 2ac -2'
loop_
_atom_site_label
_atom_site_fract_x
_atom_site_fract_y
_atom_site_fract_z
Rb1 0.000 0.232 0.000
Hg1 0.000 0.918 0.634
Pb1 0.000 0.611 0.348
Pb2 0.246 0.742 0.984

---

Tell me which of them is the least stable. Sure, it is model 2.